VASP calculation (GGA+U) on a relaxed MgNiGeO4 crystal.

abc: 5.8874 5.8874 5.8874
angles: 120.21 119.76 90.03
Atoms (fractional coordinates):
Mg 0.0000 0.0000 0.0000
Mg 0.5000 0.0000 0.5000
Ni 0.5000 0.0000 0.0000
Ni 0.5000 0.5000 0.5000
Ge 0.1275 0.3775 0.7500
Ge 0.8725 0.6225 0.2500
O 0.2474 0.7491 0.4983
O 0.2491 0.2509 0.9983
O 0.2503 0.2488 0.4985
O 0.2503 0.7518 0.0015
O 0.7497 0.2482 0.9985
O 0.7497 0.7512 0.5015
O 0.7509 0.7491 0.0017
O 0.7526 0.2509 0.5017

The total energy is -5.96 eV/atom. The value obtained for the density of states at the Fermi level is 0.0 states/eV per cell.